Record 1
LiMn2Tc: optimized geometry, PBE.

The calculation puts the density of states at the Fermi level at 3.63 states/eV/f.u. The energy relative to the elements comes out at 0.302 eV per atom. The calculation puts the total energy at -7.353 eV per atom. For the total moment, the calculation gives 2.89 μB per formula unit.

The space group is I-4m2 (No. 119) and the conventional cell measures 3.4685, 3.4685 and 8.1634 Å, with angles of 90.00, 90.00 and 90.00 degrees. Symmetry generates all atoms from Li at (0.0000, 0.0000, 0.0000), Mn at (0.0000, 0.0000, 0.5000), Mn at (0.0000, 0.5000, 0.7500) and Tc at (0.0000, 0.5000, 0.2500).



Record 2
LiMn2Tc: optimized geometry, PBE.

The calculation puts the density of states at the Fermi level at 3.71 states/eV/f.u. The energy relative to the elements comes out at 0.260 eV per atom. The calculation puts the total energy at -7.394 eV per atom. For the total moment, the calculation gives 0.16 μB per formula unit.

The space group is P4mm (No. 99) and the conventional cell measures 2.5506, 2.5506 and 8.2761 Å, with angles of 90.00, 90.00 and 90.00 degrees. Symmetry generates all atoms from Li at (0.0000, 0.0000, 0.0000), Mn at (0.0000, 0.0000, 0.4818), Mn at (0.5000, 0.5000, 0.2741) and Tc at (0.5000, 0.5000, 0.7275).



Record 3
LiMnTc2: optimized geometry, PBE.

The calculation puts the density of states at the Fermi level at 3.26 states/eV/f.u. The energy relative to the elements comes out at 0.227 eV per atom. The calculation puts the total energy at -7.726 eV per atom. Its energy above the most stable polymorph in this dataset is 36 meV/atom. For the total moment, the calculation gives 2.57 μB per formula unit.

The space group is C2/m (No. 12) and the conventional cell measures 5.1413, 8.5178 and 2.5565 Å, with angles of 90.00, 104.55 and 90.00 degrees. Symmetry generates all atoms from Li at (0.0000, 0.0000, 0.0000), Mn at (0.0000, 0.5000, 0.0000) and Tc at (0.2500, 0.2500, 0.5000).



Record 4
LiMnTc2: optimized geometry, PBE.

The calculation puts the density of states at the Fermi level at 2.93 states/eV/f.u. The energy relative to the elements comes out at 0.222 eV per atom. The calculation puts the total energy at -7.732 eV per atom. Its energy above the most stable polymorph in this dataset is 30 meV/atom. For the total moment, the calculation gives 3.65 μB per formula unit.

The space group is R3m (No. 160, hexagonal axes) and the conventional cell measures 2.7504, 2.7504 and 27.2003 Å, with angles of 90.00, 90.00 and 120.00 degrees. Symmetry generates all atoms from Li at (0.0000, 0.0000, 0.0000), Mn at (0.0000, 0.0000, 0.7530), Tc at (0.0000, 0.0000, 0.2453) and Tc at (0.0000, 0.0000, 0.5023).



Record 5
LiMnTc2: optimized geometry, PBE.

The calculation puts the density of states at the Fermi level at 4.24 states/eV/f.u. The energy relative to the elements comes out at 0.325 eV per atom. The calculation puts the total energy at -7.629 eV per atom. Its energy above the most stable polymorph in this dataset is 134 meV/atom. For the total moment, the calculation gives 1.99 μB per formula unit.

The space group is P4/mmm (No. 123) and the conventional cell measures 3.1422, 3.1422 and 5.2405 Å, with angles of 90.00, 90.00 and 90.00 degrees. Symmetry generates all atoms from Li at (0.0000, 0.0000, 0.0000), Mn at (0.0000, 0.0000, 0.5000) and Tc at (0.5000, 0.5000, 0.2429).



Record 6
LiMnTc2: optimized geometry, PBE.

The calculation puts the density of states at the Fermi level at 4.86 states/eV/f.u. The energy relative to the elements comes out at 0.276 eV per atom. The calculation puts the total energy at -7.678 eV per atom. Its energy above the most stable polymorph in this dataset is 84 meV/atom. For the total moment, the calculation gives 0.00 μB per formula unit.

The space group is Fm-3m (No. 225) and the conventional cell measures 5.8562, 5.8562 and 5.8562 Å, with angles of 90.00, 90.00 and 90.00 degrees. Symmetry generates all atoms from Li at (0.0000, 0.0000, 0.0000), Mn at (0.0000, 0.0000, 0.5000) and Tc at (0.2500, 0.2500, 0.2500).



Record 7
LiMn3Tc: optimized geometry, PBE.

The calculation puts the density of states at the Fermi level at 5.45 states/eV/f.u. The energy relative to the elements comes out at 1.047 eV per atom. The calculation puts the total energy at -6.911 eV per atom. Its energy above the most stable polymorph in this dataset is 0 meV/atom. For the total moment, the calculation gives 10.51 μB per formula unit.

The space group is Pm-3m (No. 221) and the conventional cell measures 4.7196, 4.7196 and 4.7196 Å, with angles of 90.00, 90.00 and 90.00 degrees. Symmetry generates all atoms from Li at (0.0000, 0.0000, 0.0000), Mn at (0.0000, 0.5000, 0.5000) and Tc at (0.5000, 0.5000, 0.5000).



Record 8
LiMnTc2: optimized geometry, PBE.

The calculation puts the density of states at the Fermi level at 3.02 states/eV/f.u. The energy relative to the elements comes out at 0.216 eV per atom. The calculation puts the total energy at -7.738 eV per atom. Its energy above the most stable polymorph in this dataset is 24 meV/atom. For the total moment, the calculation gives 3.19 μB per formula unit.

The space group is P4mm (No. 99) and the conventional cell measures 3.0583, 3.0583 and 5.8528 Å, with angles of 90.00, 90.00 and 90.00 degrees. Symmetry generates all atoms from Li at (0.0000, 0.0000, 0.0000), Mn at (0.5000, 0.5000, 0.2277), Tc at (0.0000, 0.0000, 0.5087) and Tc at (0.5000, 0.5000, 0.7510).



Record 9
LiMnTc2: optimized geometry, PBE.

The calculation puts the density of states at the Fermi level at 2.70 states/eV/f.u. The energy relative to the elements comes out at 0.246 eV per atom. The calculation puts the total energy at -7.708 eV per atom. Its energy above the most stable polymorph in this dataset is 54 meV/atom. For the total moment, the calculation gives 3.20 μB per formula unit.

The space group is Pmmm (No. 47) and the conventional cell measures 3.2034, 3.9899 and 4.2946 Å, with angles of 90.00, 90.00 and 90.00 degrees. Symmetry generates all atoms from Li at (0.0000, 0.0000, 0.0000), Mn at (0.5000, 0.5000, 0.0000), Tc at (0.0000, 0.5000, 0.5000) and Tc at (0.5000, 0.0000, 0.5000).



Record 10
LiMn2Tc: optimized geometry, PBE.

The calculation puts the density of states at the Fermi level at 4.26 states/eV/f.u. The energy relative to the elements comes out at 0.248 eV per atom. The calculation puts the total energy at -7.406 eV per atom. For the total moment, the calculation gives 0.33 μB per formula unit.

The space group is Cmm2 (No. 35) and the conventional cell measures 3.0811, 4.1055 and 8.4624 Å, with angles of 90.00, 90.00 and 90.00 degrees. Symmetry generates all atoms from Li at (0.0000, 0.0000, 0.0000), Mn at (0.0000, 0.0000, 0.4864), Mn at (0.0000, 0.5000, 0.2722) and Tc at (0.0000, 0.5000, 0.7285).



Record 11
LiMnTc2: optimized geometry, PBE.

The calculation puts the density of states at the Fermi level at 2.79 states/eV/f.u. The energy relative to the elements comes out at 0.616 eV per atom. The calculation puts the total energy at -7.338 eV per atom. Its energy above the most stable polymorph in this dataset is 425 meV/atom. For the total moment, the calculation gives 0.00 μB per formula unit.

The space group is I-42d (No. 122) and the conventional cell measures 6.6995, 6.6995 and 5.1090 Å, with angles of 90.00, 90.00 and 90.00 degrees. Symmetry generates all atoms from Li at (0.0000, 0.0000, 0.0000), Mn at (0.0000, 0.0000, 0.5000) and Tc at (0.2111, 0.2500, 0.6250).



Record 12
LiMnTc2: optimized geometry, PBE.

The calculation puts the density of states at the Fermi level at 3.11 states/eV/f.u. The energy relative to the elements comes out at 0.208 eV per atom. The calculation puts the total energy at -7.746 eV per atom. Its energy above the most stable polymorph in this dataset is 16 meV/atom. For the total moment, the calculation gives 1.38 μB per formula unit.

The space group is Immm (No. 71) and the conventional cell measures 2.9792, 4.2684 and 8.3537 Å, with angles of 90.00, 90.00 and 90.00 degrees. Symmetry generates all atoms from Li at (0.0000, 0.0000, 0.0000), Mn at (0.0000, 0.0000, 0.5000) and Tc at (0.0000, 0.5000, 0.2423).